A plane-wave DFT calculation with PBE-GGA was carried out for a geometry-optimized HfCu2Ge structure.

Uncorrected energy ... -5.93 eV/atom
DOS(E_F) ... 2.389 states/eV per cell
Energy of formation from the pure elements ... -244 meV/atom

Cell and atoms, written as POSCAR:
```
HfCu2Ge
1.0
3.8610 0.0000 0.0000
0.0000 3.8610 0.0000
0.0000 0.0000 4.1292
Hf Cu Ge
1 2 1
Direct
0.0000 0.0000 0.0000
0.0000 0.5000 0.5000
0.5000 0.0000 0.5000
0.5000 0.5000 0.0000
```

---

A plane-wave DFT calculation with PBE-GGA was carried out for a geometry-optimized HfCuGe3 structure.

Uncorrected energy ... -5.06 eV/atom
E above lowest polymorph ... 0 meV/atom
DOS(E_F) ... 3.434 states/eV per cell
Energy of formation from the pure elements ... 520 meV/atom

Cell and atoms, written as POSCAR:
```
HfCuGe3
1.0
4.6437 0.0000 0.0000
0.0000 4.6437 0.0000
0.0000 0.0000 4.6437
Hf Cu Ge
1 1 3
Direct
0.0000 0.0000 0.0000
0.5000 0.5000 0.5000
0.0000 0.5000 0.5000
0.5000 0.0000 0.5000
0.5000 0.5000 0.0000
```

---

Question: DOS(E_F) of number 2 (HfCuGe3)?
Answer: 3.434 states/eV per cell

---

Question: What is the formula in the first record?
Answer: HfCu2Ge

---

Question: The lowest uncorrected energy belongs to which entry?
Answer: HfCu2Ge

---

What did the second record say?
A plane-wave DFT calculation with PBE-GGA was carried out for a geometry-optimized HfCuGe3 structure.

Uncorrected energy ... -5.06 eV/atom
E above lowest polymorph ... 0 meV/atom
DOS(E_F) ... 3.434 states/eV per cell
Energy of formation from the pure elements ... 520 meV/atom

Cell and atoms, written as POSCAR:
```
HfCuGe3
1.0
4.6437 0.0000 0.0000
0.0000 4.6437 0.0000
0.0000 0.0000 4.6437
Hf Cu Ge
1 1 3
Direct
0.0000 0.0000 0.0000
0.5000 0.5000 0.5000
0.0000 0.5000 0.5000
0.5000 0.0000 0.5000
0.5000 0.5000 0.0000
```